# 1
Here is a relaxed YRu2 crystal from Alexandria via LeMat-Bulk. Energies are from PBE.

Cell lengths 6.417, 6.417, 6.417 Å; angles 153.09, 153.09, 38.42 degrees
Sites, in units of the cell vectors:
Ru1 0.021 0.021 0.000
Ru2 0.645 0.645 0.000
Y1 0.333 0.333 0.000

* space group: I4/mmm, No. 139
* formation energy from the elements: 75.6 meV per atom

***

# 2
Here is a relaxed Y5Ru crystal from Alexandria via LeMat-Bulk. Energies are from PBE.

Cell lengths 3.569, 6.373, 8.448 Å; angles 69.11, 90.00, 106.26 degrees
Sites, in units of the cell vectors:
Y1 0.397 0.793 0.816
Y2 0.364 0.728 0.230
Y3 0.028 0.055 0.444
Y4 0.692 0.383 0.659
Y5 0.659 0.318 0.073
Ru1 0.028 0.056 0.944

* space group: C2/m, No. 12
* ΔE to the lowest computed polymorph: 0 meV per atom
* formation energy from the elements: -126.1 meV per atom

***

# 3
Here is a relaxed Y13Ru2 crystal from Alexandria via LeMat-Bulk. Energies are from PBE.

Cell lengths 6.392, 8.190, 9.774 Å; angles 114.70, 89.14, 97.40 degrees
Sites, in units of the cell vectors:
Ru1 0.803 0.835 0.717
Ru2 0.197 0.165 0.283
Y1 0.058 0.480 0.315
Y2 0.942 0.520 0.685
Y3 0.173 0.935 0.610
Y4 0.688 0.166 0.775
Y5 0.000 0.000 0.000
Y6 0.554 0.230 0.147
Y7 0.778 0.621 0.067
Y8 0.409 0.327 0.557
Y9 0.312 0.834 0.225
Y10 0.591 0.673 0.443
Y11 0.827 0.065 0.390
Y12 0.222 0.379 0.933
Y13 0.446 0.770 0.853

* space group: P-1, No. 2
* formation energy from the elements: -93.9 meV per atom

***

# 4
Here is a relaxed YRu2 crystal from Alexandria via LeMat-Bulk. Energies are from PBE.

Cell lengths 5.291, 5.291, 17.793 Å; angles 90.00, 90.00, 120.00 degrees
Sites, in units of the cell vectors:
Ru1 0.500 0.500 0.500
Ru2 0.000 0.500 0.000
Ru3 0.163 0.837 0.750
Ru4 0.500 0.500 0.000
Ru5 0.163 0.326 0.750
Ru6 0.500 0.000 0.500
Ru7 0.333 0.667 0.627
Ru8 0.333 0.667 0.873
Ru9 0.674 0.837 0.750
Ru10 0.000 0.500 0.500
Ru11 0.667 0.333 0.127
Ru12 0.500 0.000 0.000
Ru13 0.326 0.163 0.250
Ru14 0.837 0.163 0.250
Ru15 0.837 0.674 0.250
Ru16 0.667 0.333 0.373
Y1 0.000 0.000 0.409
Y2 0.333 0.667 0.343
Y3 0.333 0.667 0.157
Y4 0.667 0.333 0.843
Y5 0.000 0.000 0.091
Y6 0.000 0.000 0.909
Y7 0.000 0.000 0.591
Y8 0.667 0.333 0.657

* space group: P6_3/mmc, No. 194
* formation energy from the elements: -300.8 meV per atom

***

# 5
Here is a relaxed YRu2 crystal from Alexandria via LeMat-Bulk. Energies are from PBE.

Cell lengths 7.579, 7.579, 4.649 Å; angles 90.00, 90.00, 156.28 degrees
Sites, in units of the cell vectors:
Y1 0.090 0.910 0.750
Y2 0.910 0.090 0.250
Ru1 0.770 0.230 0.750
Ru2 0.587 0.413 0.250
Ru3 0.230 0.770 0.250
Ru4 0.413 0.587 0.750

* space group: Cmcm, No. 63
* formation energy from the elements: 67.2 meV per atom

***

# 6
Here is a relaxed YRu2 crystal from Alexandria via LeMat-Bulk. Energies are from PBE.

Cell lengths 4.459, 4.459, 4.459 Å; angles 60.00, 60.00, 60.00 degrees
Each line ends with the local moment (μB).
Sites, in units of the cell vectors:
Ru1 0.250 0.250 0.250  0.76
Ru2 0.750 0.750 0.750  0.76
Y1 0.000 0.000 0.000  -0.04

* space group: Fm-3m, No. 225
* formation energy from the elements: 1051.3 meV per atom

***

The records above give, respectively, theoretical density values of 8.94, 5.29, 4.90, 8.96, 9.00, 7.71 Mg/m³.
The records above give, respectively, uncorrected energy values of -0.60732, -0.51881, -0.50956, -0.63498, -0.60793, -0.53560 Ry per atom.